{"formula": "Ac3Zn3Pd", "functional": "PBE-GGA", "state": "relaxed", "formation_enthalpy_0k_kj_per_mol_fu": -281, "crystal_system": "orthorhombic", "magnetic_moment_mub_per_atom": 0.0000, "lattice": [[-2.7266, -2.3955, -2.9333], [2.7987, -2.9840, -0.1647], [-4.5258, -1.9612, 9.5204]], "species": ["Zn", "Zn", "Zn", "Ac", "Ac", "Ac", "Pd"], "frac_coords": [[0.5643, 0.5643, 0.1285], [0.1330, 0.6330, 0.2661], [0.8654, 0.3654, 0.7309], [0.9958, 0.9958, 0.9916], [0.3178, 0.8178, 0.6355], [0.6892, 0.1892, 0.3784], [0.4345, 0.4345, 0.8690]]}

{"formula": "Ac3ZnPd12", "functional": "PBE-GGA", "state": "relaxed", "formation_enthalpy_0k_kj_per_mol_fu": -932, "crystal_system": "tetragonal", "magnetic_moment_mub_per_atom": 0.0000, "lattice": [[4.3137, 0.0000, 0.0000], [0.0000, 4.3137, 0.0000], [0.0000, 0.0000, 16.1961]], "species": ["Zn", "Pd", "Pd", "Pd", "Pd", "Pd", "Pd", "Pd", "Pd", "Pd", "Pd", "Pd", "Pd", "Ac", "Ac", "Ac"], "frac_coords": [[0.0000, 0.0000, 0.0000], [0.0000, 0.5000, 0.1015], [0.0000, 0.5000, 0.6324], [0.5000, 0.0000, 0.8985], [0.0000, 0.5000, 0.8985], [0.5000, 0.5000, 0.5000], [0.5000, 0.5000, 0.7648], [0.5000, 0.0000, 0.1015], [0.5000, 0.5000, 0.2352], [0.5000, 0.5000, 0.0000], [0.5000, 0.0000, 0.6324], [0.0000, 0.5000, 0.3676], [0.5000, 0.0000, 0.3676], [0.0000, 0.0000, 0.5000], [0.0000, 0.0000, 0.7667], [0.0000, 0.0000, 0.2333]]}

{"formula": "Ac2Zn5Pd3", "functional": "PBE-GGA", "state": "relaxed", "formation_enthalpy_0k_kj_per_mol_fu": -546, "e_above_lowest_polymorph_mev_per_atom": 0, "crystal_system": "monoclinic", "magnetic_moment_mub_per_atom": 0.0000, "lattice": [[-6.0056, 1.2260, 0.9484], [-3.6756, -6.1744, 5.0757], [-0.9909, 5.9469, 6.4070]], "species": ["Pd", "Pd", "Pd", "Pd", "Pd", "Pd", "Zn", "Zn", "Zn", "Zn", "Zn", "Zn", "Zn", "Zn", "Zn", "Zn", "Ac", "Ac", "Ac", "Ac"], "frac_coords": [[0.3468, 0.5396, 0.7658], [0.6532, 0.4604, 0.2342], [0.1532, 0.2342, 0.4604], [0.7500, 0.0000, 0.0000], [0.2500, 0.0000, 0.0000], [0.8468, 0.7658, 0.5396], [0.7500, 0.7196, 0.2804], [0.2500, 0.2804, 0.7196], [0.2500, 0.5001, 0.4999], [0.7500, 0.4999, 0.5001], [0.6073, 0.0326, 0.7539], [0.8927, 0.2461, 0.9674], [0.2500, 0.7191, 0.2809], [0.3927, 0.9674, 0.2461], [0.7500, 0.2809, 0.7191], [0.1073, 0.7539, 0.0326], [0.2308, 0.8951, 0.6456], [0.2692, 0.3544, 0.1049], [0.7692, 0.1049, 0.3544], [0.7308, 0.6456, 0.8951]]}

{"formula": "Ac2Zn9Pd", "functional": "PBE-GGA", "state": "relaxed", "formation_enthalpy_0k_kj_per_mol_fu": -72, "crystal_system": "trigonal", "magnetic_moment_mub_per_atom": 0.0000, "lattice": [[-1.3562, -4.8537, -2.6591], [-0.7928, -4.7725, 3.0105], [-9.0194, -1.3259, 0.9153]], "species": ["Zn", "Zn", "Zn", "Zn", "Zn", "Zn", "Zn", "Zn", "Zn", "Ac", "Ac", "Pd"], "frac_coords": [[0.5789, 0.0754, 0.7668], [0.5000, 0.5000, 0.5000], [0.9246, 0.4211, 0.2332], [0.0754, 0.5789, 0.7668], [0.4211, 0.4211, 0.2332], [0.5789, 0.5789, 0.7668], [0.4211, 0.9246, 0.2332], [0.6658, 0.6658, 0.0027], [0.3342, 0.3342, 0.9973], [0.1365, 0.1365, 0.5904], [0.8635, 0.8635, 0.4096], [0.0000, 0.0000, 0.0000]]}

{"formula": "Ac4Zn5Pd2", "functional": "PBE-GGA", "state": "relaxed", "formation_enthalpy_0k_kj_per_mol_fu": -430, "crystal_system": "monoclinic", "magnetic_moment_mub_per_atom": 0.0000, "lattice": [[4.1587, 0.0000, 0.0000], [0.0000, 7.4174, -0.0088], [0.0000, -0.7297, 9.4867]], "species": ["Ac", "Ac", "Ac", "Ac", "Zn", "Zn", "Zn", "Zn", "Zn", "Pd", "Pd"], "frac_coords": [[0.5000, 0.8183, 0.1304], [0.5000, 0.1817, 0.8696], [0.5000, 0.7484, 0.5635], [0.5000, 0.2516, 0.4365], [0.0000, 0.5526, 0.2928], [0.0000, 0.4474, 0.7072], [0.0000, 0.8004, 0.8434], [0.0000, 0.1996, 0.1566], [0.0000, 0.5000, 0.0000], [0.0000, 0.9305, 0.3555], [0.0000, 0.0695, 0.6445]]}

{"formula": "Ac3Zn2Pd3", "functional": "PBE-GGA", "state": "relaxed", "formation_enthalpy_0k_kj_per_mol_fu": -413, "e_above_lowest_polymorph_mev_per_atom": 150, "crystal_system": "hexagonal", "magnetic_moment_mub_per_atom": 0.0000, "lattice": [[-5.0032, -0.8294, -3.3061], [-0.7751, -8.3022, 3.2557], [-3.9252, 6.8479, 4.2222]], "species": ["Pd", "Pd", "Pd", "Pd", "Pd", "Pd", "Ac", "Ac", "Ac", "Ac", "Ac", "Ac", "Zn", "Zn", "Zn", "Zn"], "frac_coords": [[0.7500, 0.0000, 0.6167], [0.2500, 0.6167, 0.6167], [0.7500, 0.3833, 0.3833], [0.2500, 0.3833, 0.0000], [0.2500, 0.0000, 0.3833], [0.7500, 0.6167, 0.0000], [0.2500, 0.0000, 0.7092], [0.7500, 0.0000, 0.2908], [0.2500, 0.2908, 0.2908], [0.2500, 0.7092, 0.0000], [0.7500, 0.2908, 0.0000], [0.7500, 0.7092, 0.7092], [0.5000, 0.6667, 0.3333], [0.0000, 0.3333, 0.6667], [0.5000, 0.3333, 0.6667], [0.0000, 0.6667, 0.3333]]}

{"formula": "Ac2Zn5Pd3", "functional": "PBE-GGA", "state": "relaxed", "formation_enthalpy_0k_kj_per_mol_fu": -470, "e_above_lowest_polymorph_mev_per_atom": 79, "crystal_system": "tetragonal", "magnetic_moment_mub_per_atom": 0.0000, "lattice": [[-3.4732, 1.2451, -2.0009], [-2.2805, -0.8773, 3.4127], [1.6696, 10.9908, 3.9412]], "species": ["Pd", "Pd", "Pd", "Zn", "Zn", "Zn", "Zn", "Zn", "Ac", "Ac"], "frac_coords": [[0.5000, 0.0000, 0.6490], [0.0000, 0.5000, 0.3510], [0.0000, 0.0000, 0.5000], [0.5000, 0.0000, 0.8695], [0.5000, 0.5000, 0.5000], [0.0000, 0.0000, 0.0000], [0.5000, 0.5000, 0.0000], [0.0000, 0.5000, 0.1305], [0.0000, 0.5000, 0.7361], [0.5000, 0.0000, 0.2639]]}

{"formula": "Ac2ZnPd", "functional": "PBE-GGA", "state": "relaxed", "formation_enthalpy_0k_kj_per_mol_fu": -186, "crystal_system": "tetragonal", "magnetic_moment_mub_per_atom": 0.0000, "lattice": [[3.8747, 0.0000, 0.0000], [0.0000, 3.8747, 0.0000], [0.0000, 0.0000, 7.6760]], "species": ["Pd", "Ac", "Ac", "Zn"], "frac_coords": [[0.5000, 0.5000, 0.0000], [0.0000, 0.0000, 0.7598], [0.0000, 0.0000, 0.2402], [0.5000, 0.5000, 0.5000]]}

{"formula": "Ac3Zn3Pd8", "functional": "PBE-GGA", "state": "relaxed", "formation_enthalpy_0k_kj_per_mol_fu": -953, "e_above_lowest_polymorph_mev_per_atom": 0, "crystal_system": "monoclinic", "magnetic_moment_mub_per_atom": 0.0000, "lattice": [[4.3392, 0.0000, 1.1445], [1.3808, 7.5183, 3.5628], [0.0081, -0.1001, 8.7671]], "species": ["Ac", "Ac", "Ac", "Pd", "Pd", "Pd", "Pd", "Pd", "Pd", "Pd", "Pd", "Zn", "Zn", "Zn"], "frac_coords": [[0.6988, 0.2666, 0.3358], [0.3012, 0.7334, 0.6642], [0.0000, 0.0000, 0.0000], [0.8866, 0.8399, 0.3869], [0.3481, 0.0459, 0.2578], [0.6519, 0.9541, 0.7422], [0.1134, 0.1601, 0.6131], [0.1277, 0.5791, 0.1656], [0.8723, 0.4209, 0.8344], [0.4923, 0.3283, 0.6871], [0.5077, 0.6717, 0.3129], [0.3230, 0.3482, 0.0058], [0.0000, 0.5000, 0.5000], [0.6770, 0.6518, 0.9942]]}

{"formula": "AcZn4Pd4", "functional": "PBE-GGA", "state": "relaxed", "formation_enthalpy_0k_kj_per_mol_fu": -412, "crystal_system": "tetragonal", "magnetic_moment_mub_per_atom": 0.0000, "lattice": [[-1.2489, 4.2731, 1.6864], [-6.2009, -3.6043, 4.5406], [5.3524, -1.0055, 6.5115]], "species": ["Zn", "Zn", "Zn", "Zn", "Zn", "Zn", "Zn", "Zn", "Pd", "Pd", "Pd", "Pd", "Pd", "Pd", "Pd", "Pd", "Ac", "Ac"], "frac_coords": [[0.4992, 0.2751, 0.1487], [0.4992, 0.7249, 0.8513], [0.9992, 0.3513, 0.7751], [0.5008, 0.1487, 0.7249], [0.5008, 0.8513, 0.2751], [0.0008, 0.7751, 0.6487], [0.0008, 0.2249, 0.3513], [0.9992, 0.6487, 0.2249], [0.9990, 0.3716, 0.0954], [0.0010, 0.9046, 0.3716], [0.4990, 0.4046, 0.8716], [0.0010, 0.0954, 0.6284], [0.5010, 0.1284, 0.4046], [0.9990, 0.6284, 0.9046], [0.5010, 0.8716, 0.5954], [0.4990, 0.5954, 0.1284], [0.5000, 0.5000, 0.5000], [0.0000, 0.0000, 0.0000]]}

{"formula": "Ac2ZnPd", "functional": "PBE-GGA", "state": "relaxed", "formation_enthalpy_0k_kj_per_mol_fu": -177, "crystal_system": "monoclinic", "magnetic_moment_mub_per_atom": 0.1722, "lattice": [[-1.7234, -2.5816, -3.2965], [2.7698, -2.1036, -2.9102], [0.5939, -7.3663, 2.3487]], "species": ["Pd", "Zn", "Ac", "Ac"], "frac_coords": [[0.1357, 0.8977, 0.8309], [0.4701, 0.2328, 0.8271], [0.7135, 0.4764, 0.0965], [0.8910, 0.6550, 0.5629]]}

{"formula": "AcZnPd4", "functional": "PBE-GGA", "state": "relaxed", "formation_enthalpy_0k_kj_per_mol_fu": -332, "e_above_lowest_polymorph_mev_per_atom": 31, "crystal_system": "cubic", "magnetic_moment_mub_per_atom": 0.0000, "lattice": [[5.4722, 0.0000, 0.0000], [2.7361, 4.7391, 0.0000], [2.7361, 1.5797, 4.4681]], "species": ["Ac", "Pd", "Pd", "Pd", "Pd", "Zn"], "frac_coords": [[0.2500, 0.2500, 0.2500], [0.6259, 0.6259, 0.1223], [0.6259, 0.1223, 0.6259], [0.6259, 0.6259, 0.6259], [0.1223, 0.6259, 0.6259], [0.0000, 0.0000, 0.0000]]}

{"formula": "Ac2Zn3Pd2", "functional": "PBE-GGA", "state": "relaxed", "formation_enthalpy_0k_kj_per_mol_fu": -388, "crystal_system": "monoclinic", "magnetic_moment_mub_per_atom": 0.0000, "lattice": [[4.2182, 0.0000, 0.0000], [-2.1091, 5.4224, -0.3319], [0.0000, -2.8984, 7.1387]], "species": ["Zn", "Zn", "Zn", "Pd", "Pd", "Ac", "Ac"], "frac_coords": [[0.6466, 0.2932, 0.4351], [0.5000, 0.0000, 0.0000], [0.3534, 0.7068, 0.5649], [0.8669, 0.7337, 0.7959], [0.1331, 0.2663, 0.2041], [0.1381, 0.2761, 0.7618], [0.8619, 0.7239, 0.2382]]}

{"formula": "AcZn3Pd2", "functional": "PBE-GGA", "state": "relaxed", "formation_enthalpy_0k_kj_per_mol_fu": -339, "e_above_lowest_polymorph_mev_per_atom": 0, "crystal_system": "hexagonal", "magnetic_moment_mub_per_atom": 0.0000, "lattice": [[-0.1979, 0.6537, 4.2522], [3.5547, -4.2245, 0.8150], [1.9424, 5.1839, -0.7066]], "species": ["Pd", "Pd", "Zn", "Zn", "Zn", "Ac"], "frac_coords": [[0.0000, 0.3345, 0.6666], [0.0000, 0.6680, 0.3335], [0.5000, 0.5013, 0.0000], [0.5000, 0.0012, 0.5000], [0.5000, 0.5013, 0.5000], [0.0000, 0.0012, 0.0000]]}

{"formula": "Ac6ZnPd3", "functional": "PBE-GGA", "state": "relaxed", "formation_enthalpy_0k_kj_per_mol_fu": -452, "crystal_system": "monoclinic", "magnetic_moment_mub_per_atom": 0.0000, "lattice": [[4.3116, 0.0000, 0.0000], [0.0000, 10.9517, -4.3857], [0.0000, 0.1238, 14.1805]], "species": ["Ac", "Ac", "Ac", "Ac", "Ac", "Ac", "Ac", "Ac", "Ac", "Ac", "Ac", "Ac", "Zn", "Zn", "Pd", "Pd", "Pd", "Pd", "Pd", "Pd"], "frac_coords": [[0.2500, 0.8815, 0.5692], [0.2500, 0.1586, 0.9081], [0.2500, 0.2557, 0.6835], [0.7500, 0.8347, 0.8044], [0.2500, 0.5633, 0.9018], [0.2500, 0.1653, 0.1956], [0.7500, 0.7443, 0.3165], [0.7500, 0.4831, 0.6146], [0.7500, 0.4367, 0.0982], [0.2500, 0.5169, 0.3854], [0.7500, 0.1185, 0.4308], [0.7500, 0.8414, 0.0919], [0.2500, 0.9303, 0.2821], [0.7500, 0.0697, 0.7179], [0.7500, 0.6847, 0.5328], [0.2500, 0.6542, 0.1427], [0.2500, 0.3153, 0.4672], [0.7500, 0.3458, 0.8573], [0.7500, 0.0900, 0.0336], [0.2500, 0.9100, 0.9664]]}

{"formula": "Ac6Zn5Pd", "functional": "PBE-GGA", "state": "relaxed", "formation_enthalpy_0k_kj_per_mol_fu": -377, "crystal_system": "monoclinic", "magnetic_moment_mub_per_atom": 0.0000, "lattice": [[5.4221, -0.3521, 0.8971], [-0.0209, 7.2137, 2.9576], [1.2675, 0.3425, 9.4492]], "species": ["Zn", "Zn", "Zn", "Zn", "Zn", "Ac", "Ac", "Ac", "Ac", "Ac", "Ac", "Pd"], "frac_coords": [[0.6763, 0.1767, 0.6471], [0.0000, 0.5000, 0.0000], [0.3323, 0.3324, 0.3354], [0.6677, 0.6676, 0.6646], [0.3237, 0.8233, 0.3529], [0.1630, 0.4080, 0.6740], [0.8370, 0.5920, 0.3260], [0.1631, 0.9180, 0.6739], [0.5000, 0.7572, 0.0000], [0.8369, 0.0820, 0.3261], [0.5000, 0.2428, 0.0000], [0.0000, 0.0000, 0.0000]]}

{"formula": "Ac2Zn5Pd5", "functional": "PBE-GGA", "state": "relaxed", "formation_enthalpy_0k_kj_per_mol_fu": -725, "crystal_system": "orthorhombic", "magnetic_moment_mub_per_atom": 0.0000, "lattice": [[-1.3344, -3.5502, -2.1268], [4.2529, 0.4482, -3.4166], [5.3496, -5.5628, 5.9292]], "species": ["Pd", "Pd", "Pd", "Pd", "Pd", "Ac", "Ac", "Zn", "Zn", "Zn", "Zn", "Zn"], "frac_coords": [[0.0000, 0.5000, 0.6675], [0.0000, 0.0000, 0.1819], [0.0000, 0.0000, 0.8181], [0.0000, 0.5000, 0.3325], [0.5000, 0.0000, 0.0000], [0.0000, 0.0000, 0.5000], [0.0000, 0.5000, 0.0000], [0.5000, 0.7506, 0.2476], [0.5000, 0.2494, 0.2476], [0.5000, 0.7506, 0.7524], [0.5000, 0.5000, 0.5000], [0.5000, 0.2494, 0.7524]]}

{"formula": "Ac2Zn6Pd3", "functional": "PBE-GGA", "state": "relaxed", "formation_enthalpy_0k_kj_per_mol_fu": -532, "crystal_system": "hexagonal", "magnetic_moment_mub_per_atom": 0.0000, "lattice": [[-1.7791, 3.1390, 2.0795], [-4.5351, 1.5960, -6.2890], [-2.5280, -5.0859, 5.5144]], "species": ["Zn", "Zn", "Zn", "Zn", "Zn", "Zn", "Ac", "Ac", "Pd", "Pd", "Pd"], "frac_coords": [[0.5000, 0.0000, 0.2749], [0.5000, 0.2749, 0.0000], [0.5000, 0.7251, 0.7251], [0.0000, 0.0000, 0.8127], [0.0000, 0.8127, 0.0000], [0.0000, 0.1873, 0.1873], [0.0000, 0.3333, 0.6667], [0.0000, 0.6667, 0.3333], [0.5000, 0.6126, 0.0000], [0.5000, 0.0000, 0.6126], [0.5000, 0.3874, 0.3874]]}

{"formula": "Ac3Zn2Pd3", "functional": "PBE-GGA", "state": "relaxed", "formation_enthalpy_0k_kj_per_mol_fu": -529, "e_above_lowest_polymorph_mev_per_atom": 0, "crystal_system": "orthorhombic", "magnetic_moment_mub_per_atom": 0.0000, "lattice": [[4.3526, 0.0000, 0.0000], [-2.1763, 6.1876, 0.0000], [0.0000, 0.0000, 15.0045]], "species": ["Pd", "Pd", "Pd", "Pd", "Pd", "Pd", "Zn", "Zn", "Zn", "Zn", "Ac", "Ac", "Ac", "Ac", "Ac", "Ac"], "frac_coords": [[0.6057, 0.2113, 0.4559], [0.3943, 0.7887, 0.5441], [0.3943, 0.7887, 0.9559], [0.6057, 0.2113, 0.0441], [0.3245, 0.6490, 0.2500], [0.6755, 0.3510, 0.7500], [0.7825, 0.5651, 0.9177], [0.2175, 0.4349, 0.4177], [0.7825, 0.5651, 0.5823], [0.2175, 0.4349, 0.0823], [0.9168, 0.8337, 0.3918], [0.3554, 0.7109, 0.7500], [0.9168, 0.8337, 0.1082], [0.6446, 0.2891, 0.2500], [0.0832, 0.1663, 0.8918], [0.0832, 0.1663, 0.6082]]}

{"formula": "AcZn3Pd3", "functional": "PBE-GGA", "state": "relaxed", "formation_enthalpy_0k_kj_per_mol_fu": -317, "crystal_system": "trigonal", "magnetic_moment_mub_per_atom": 0.0000, "lattice": [[6.9406, 0.0000, 0.0000], [3.4703, 6.0107, 0.0000], [3.4703, 2.0036, 6.4319]], "species": ["Pd", "Pd", "Pd", "Pd", "Pd", "Pd", "Ac", "Ac", "Zn", "Zn", "Zn", "Zn", "Zn", "Zn"], "frac_coords": [[0.1509, 0.6881, 0.1951], [0.0341, 0.8491, 0.8049], [0.9659, 0.1509, 0.1951], [0.6881, 0.9659, 0.1951], [0.3119, 0.0341, 0.8049], [0.8491, 0.3119, 0.8049], [0.3522, 0.3522, 0.9435], [0.6478, 0.6478, 0.0565], [0.2603, 0.9366, 0.4137], [0.0634, 0.6106, 0.5863], [0.3894, 0.2603, 0.4137], [0.9366, 0.3894, 0.4137], [0.7397, 0.0634, 0.5863], [0.6106, 0.7397, 0.5863]]}